Mg2InSnHg after structural relaxation, computed with PBE.

- V: 29.8 A^3/atom
- Symmetry: P4/mmm
- DFT formation energy: 1.2 eV/f.u.

```
5
Lattice="5.241 0.000 0.000 0.000 5.241 0.000 0.000 0.000 5.417" Properties=species:S:1:pos:R:3 pbc="T T T"
Mg 0.000 2.620 0.000
Mg 2.620 0.000 0.000
In 0.000 0.000 2.708
Sn 2.620 2.620 2.708
Hg 0.000 0.000 0.000
```